--- w ---
DFT (GGA-PBE) results for crystalline Y4Tm5Th at its relaxed geometry.

Structure (extended XYZ):
```
10
Lattice="6.352 0.000 0.000 3.176 7.151 0.000 3.176 0.000 7.151" Properties=species:S:1:pos:R:3 pbc="T T T"
Tm 6.033 6.521 4.484
Tm 2.857 4.484 0.630
Y 9.207 5.046 4.356
Th 1.424 0.000 0.000
Tm 9.209 2.667 6.521
Y 2.854 2.105 2.795
Tm 6.033 0.630 2.667
Y 6.031 4.356 2.105
Y 6.031 2.795 5.046
Tm 4.381 0.000 0.000
```

Properties
density: 7322 kg/m3

***

--- x ---
DFT (GGA-PBE) results for crystalline Y4Tm5Th at its relaxed geometry.

Structure (extended XYZ):
```
10
Lattice="5.224 0.000 -1.194 0.078 10.397 0.340 -1.319 0.521 6.255" Properties=species:S:1:pos:R:3 pbc="T T T"
Y 3.037 2.667 1.263
Tm 2.651 5.199 -0.427
Y 0.946 8.250 4.137
Th 2.612 0.000 -0.597
Y 0.204 7.645 0.893
Tm 0.629 4.408 2.754
Tm 3.511 10.190 3.334
Y 3.779 3.273 4.507
Tm 0.472 0.728 2.067
Tm 3.354 6.509 2.647
```

Properties
density: 7378 kg/m3

***

Most stable = x